# 1
This record from Alexandria describes an optimized crystal structure of ScMnAs. The functional is GGA-PBE.

```
ScMnAs
1.0
-1.648 1.648 4.711
1.648 -1.648 4.711
1.648 1.648 -4.711
Sc Mn As
1 1 1
direct
0.000 0.000 0.000
0.687 0.687 0.000
0.307 0.307 0.000
```

* DOS at the Fermi energy: 0.749 states/eV/atom
* magnetic moment: 2.635 Bohr magnetons per cell
* DFT total energy: -7.09 eV per atom
* DFT formation energy: -0.37 eV per atom

# 2
This record from Alexandria describes an optimized crystal structure of ScMn2As. The functional is GGA-PBE.

```
ScMn2As
1.0
0.000 3.072 3.072
3.072 0.000 3.072
3.072 3.072 0.000
Sc Mn As
1 2 1
direct
0.000 0.000 0.000
0.250 0.250 0.250
0.500 0.500 0.500
0.750 0.750 0.750
```

* DOS at the Fermi energy: 0.844 states/eV/atom
* magnetic moment: 3.895 Bohr magnetons per cell
* DFT total energy: -7.39 eV per atom
* DFT formation energy: -0.06 eV per atom

# 3
This record from Alexandria describes an optimized crystal structure of ScMnAs. The functional is GGA-PBE.

```
ScMnAs
1.0
4.121 0.000 0.000
-2.061 3.569 0.000
0.000 0.000 3.527
Sc Mn As
1 1 1
direct
0.000 0.000 0.000
0.667 0.333 0.500
0.333 0.667 0.500
```

* DOS at the Fermi energy: 1.271 states/eV/atom
* magnetic moment: 2.765 Bohr magnetons per cell
* DFT total energy: -7.22 eV per atom
* DFT formation energy: -0.51 eV per atom

# 4
This record from Alexandria describes an optimized crystal structure of ScMn2As. The functional is GGA-PBE.

```
ScMn2As
1.0
3.924 0.000 0.000
0.000 1.726 4.972
0.000 -1.726 4.972
Sc Mn As
1 2 1
direct
0.000 0.000 0.000
0.000 0.734 0.734
0.500 0.310 0.310
0.500 0.589 0.589
```

* DOS at the Fermi energy: 0.742 states/eV/atom
* magnetic moment: 6.491 Bohr magnetons per cell
* DFT total energy: -7.53 eV per atom
* DFT formation energy: -0.20 eV per atom

# 5
This record from Alexandria describes an optimized crystal structure of ScMnAs. The functional is GGA-PBE.

```
ScMnAs
1.0
0.000 3.048 3.048
3.048 0.000 3.048
3.048 3.048 0.000
Sc Mn As
1 1 1
direct
0.000 0.000 0.000
0.500 0.500 0.500
0.250 0.250 0.250
```

* DOS at the Fermi energy: 0.897 states/eV/atom
* magnetic moment: 3.001 Bohr magnetons per cell
* DFT total energy: -7.19 eV per atom
* DFT formation energy: -0.47 eV per atom

# 6
This record from Alexandria describes an optimized crystal structure of ScMnAs3. The functional is GGA-PBE.

```
ScMnAs3
1.0
4.701 0.000 0.000
0.000 4.701 0.000
0.000 0.000 4.701
Sc Mn As
1 1 3
direct
0.000 0.000 0.000
0.500 0.500 0.500
0.000 0.500 0.500
0.500 0.000 0.500
0.500 0.500 0.000
```

* DOS at the Fermi energy: 0.797 states/eV/atom
* magnetic moment: 2.735 Bohr magnetons per cell
* DFT total energy: -5.86 eV per atom
* energy relative to the lowest polymorph listed for this composition: 0 meV/atom
* DFT formation energy: 0.03 eV per atom

# 7
This record from Alexandria describes an optimized crystal structure of ScMn2As. The functional is GGA-PBE.

```
ScMn2As
1.0
-1.924 1.924 4.260
1.924 -1.924 4.260
1.924 1.924 -4.260
Sc Mn As
1 2 1
direct
0.000 0.000 0.000
0.250 0.750 0.500
0.750 0.250 0.500
0.500 0.500 0.000
```

* DOS at the Fermi energy: 0.603 states/eV/atom
* magnetic moment: 5.987 Bohr magnetons per cell
* DFT total energy: -7.53 eV per atom
* DFT formation energy: -0.20 eV per atom

# 8
This record from Alexandria describes an optimized crystal structure of ScMnAs2. The functional is GGA-PBE.

```
ScMnAs2
1.0
-1.905 1.905 4.920
1.905 -1.905 4.920
1.905 1.905 -4.920
Sc Mn As
1 1 2
direct
0.000 0.000 0.000
0.750 0.250 0.500
0.250 0.750 0.500
0.500 0.500 0.000
```

* DOS at the Fermi energy: 0.545 states/eV/atom
* magnetic moment: 4.044 Bohr magnetons per cell
* DFT total energy: -6.66 eV per atom
* energy relative to the lowest polymorph listed for this composition: 204 meV/atom
* DFT formation energy: -0.46 eV per atom